Record 1
First-principles (PBE-GGA) data for crystalline Tb2PmGe at its relaxed geometry, as listed in Alexandria via LeMat-Bulk.

a b c (Å): 3.797 3.797 9.999
angles (deg): 79.06 79.06 60.00
Site moments in Bohr magnetons follow the coordinates.
Positions (direct):
Tb 0.269 0.269 0.194  0.03
Tb 0.064 0.064 0.807  0.02
Ge 0.666 0.666 0.001  0.00
Pm 0.501 0.501 0.498  0.10

Computed properties:
- space-group type = No. 160
- DOS(E_F) (states/eV/cell) = 5.6
- energy above the lowest structure with this stoichiometry (eV/atom) = 0.196
- calculated volume (Å³ per cell) = 122
- E_form (eV per atom) = -0.248

***

Record 2
First-principles (PBE-GGA) data for crystalline TbPmTlGe at its relaxed geometry, as listed in Alexandria via LeMat-Bulk.

a b c (Å): 5.289 5.289 5.289
angles (deg): 60.00 60.00 60.00
Positions (direct):
Ge 0.500 0.500 0.500
Tb 0.750 0.750 0.750
Pm 0.250 0.250 0.250
Tl 0.000 0.000 0.000

Computed properties:
- space-group type = No. 216
- DOS(E_F) (states/eV/cell) = 2.6
- calculated volume (Å³ per cell) = 105
- E_form (eV per atom) = -0.445

***

Record 3
First-principles (PBE-GGA) data for crystalline Tb2PmZn2Ge2 at its relaxed geometry, as listed in Alexandria via LeMat-Bulk.

a b c (Å): 4.159 4.159 11.482
angles (deg): 79.57 79.57 60.00
Positions (direct):
Ge 0.734 0.734 0.797
Ge 0.266 0.266 0.203
Zn 0.393 0.393 0.822
Zn 0.607 0.607 0.178
Pm 0.000 0.000 0.000
Tb 0.876 0.876 0.371
Tb 0.124 0.124 0.629

Computed properties:
- space-group type = No. 166
- DOS(E_F) (states/eV/cell) = 7.3
- calculated volume (Å³ per cell) = 168
- E_form (eV per atom) = -0.469

***

Record 4
First-principles (PBE-GGA) data for crystalline TbPm2Zn2Ge2 at its relaxed geometry, as listed in Alexandria via LeMat-Bulk.

a b c (Å): 4.169 4.169 11.597
angles (deg): 79.64 79.64 60.00
Site moments in Bohr magnetons follow the coordinates.
Positions (direct):
Ge 0.725 0.725 0.825  0.00
Ge 0.275 0.275 0.175  0.00
Zn 0.395 0.395 0.814  0.01
Zn 0.605 0.605 0.186  0.01
Tb 0.000 0.000 0.000  0.02
Pm 0.878 0.878 0.365  0.16
Pm 0.122 0.122 0.635  0.16

Computed properties:
- space-group type = No. 166
- DOS(E_F) (states/eV/cell) = 5.6
- calculated volume (Å³ per cell) = 171
- E_form (eV per atom) = -0.478

***

Record 5
First-principles (PBE-GGA) data for crystalline Pm2TcGe3 at its relaxed geometry, as listed in Alexandria via LeMat-Bulk.

a b c (Å): 3.959 4.700 8.247
angles (deg): 106.56 103.89 90.00
Positions (direct):
Ge 0.163 0.163 0.325
Ge 0.837 0.837 0.675
Ge 0.000 0.500 0.000
Pm 0.647 0.647 0.295
Pm 0.353 0.353 0.705
Tc 0.000 0.000 0.000

Computed properties:
- space-group type = No. 71
- DOS(E_F) (states/eV/cell) = 4.9
- calculated volume (Å³ per cell) = 142
- E_form (eV per atom) = -0.309

***

Record 6
First-principles (PBE-GGA) data for crystalline Pm5Tc2Ge5 at its relaxed geometry, as listed in Alexandria via LeMat-Bulk.

a b c (Å): 4.447 6.648 10.233
angles (deg): 96.90 90.00 109.54
Positions (direct):
Ge 0.336 0.673 0.218
Ge 0.901 0.803 0.675
Ge 0.099 0.197 0.325
Ge 0.664 0.327 0.782
Ge 0.000 0.000 0.000
Pm 0.351 0.702 0.910
Pm 0.222 0.444 0.603
Pm 0.500 0.000 0.500
Pm 0.649 0.298 0.090
Pm 0.778 0.556 0.397
Tc 0.083 0.167 0.807
Tc 0.917 0.833 0.193

Computed properties:
- space-group type = No. 12
- DOS(E_F) (states/eV/cell) = 7.2
- calculated volume (Å³ per cell) = 283
- E_form (eV per atom) = -0.495

***

Record 7
First-principles (PBE-GGA) data for crystalline Pm2Tc3Ge8 at its relaxed geometry, as listed in Alexandria via LeMat-Bulk.

a b c (Å): 7.904 7.161 6.781
angles (deg): 121.87 121.39 90.00
Positions (direct):
Ge 0.294 0.279 0.950
Ge 0.177 0.718 0.436
Ge 0.823 0.282 0.564
Ge 0.294 0.670 0.950
Ge 0.706 0.721 0.050
Ge 0.706 0.330 0.050
Ge 0.055 0.885 0.769
Ge 0.945 0.115 0.231
Tc 0.000 0.709 0.000
Tc 0.000 0.291 0.000
Tc 0.500 0.000 0.000
Pm 0.388 0.229 0.457
Pm 0.612 0.771 0.543

Computed properties:
- space-group type = No. 12
- DOS(E_F) (states/eV/cell) = 7.2
- calculated volume (Å³ per cell) = 257
- E_form (eV per atom) = -0.116

***

Record 8
First-principles (PBE-GGA) data for crystalline PmTc2Ge3 at its relaxed geometry, as listed in Alexandria via LeMat-Bulk.

a b c (Å): 5.875 6.191 6.191
angles (deg): 102.78 90.00 90.00
Positions (direct):
Tc 0.000 0.208 0.792
Tc 0.000 0.792 0.208
Tc 0.500 0.208 0.792
Tc 0.500 0.792 0.208
Pm 0.750 0.648 0.648
Pm 0.250 0.352 0.352
Ge 0.250 0.544 0.878
Ge 0.750 0.122 0.456
Ge 0.250 0.878 0.544
Ge 0.750 0.026 0.026
Ge 0.250 0.974 0.974
Ge 0.750 0.456 0.122

Computed properties:
- space-group type = No. 63
- DOS(E_F) (states/eV/cell) = 9.5
- calculated volume (Å³ per cell) = 220
- E_form (eV per atom) = -0.318